La4Tb15Ho: optimized geometry, PBE.

## Properties
The calculation puts the formation energy at 0.51 eV/f.u. The total magnetic moment comes out at 0.0 μB/f.u. As for the density: 7.819 g cm⁻³. The space group is No. 123.

Cell: 5.0980 5.0980 25.3691 Å, 90.00 90.00 90.00°
With the nearest neighbours (Å) after each atom.
Positions (direct):
La1 0.0000 0.0000 0.1006  12 Tb 3.60-3.61
La2 0.0000 0.0000 0.3007  12 Tb 3.59-3.63
La3 0.0000 0.0000 0.6993  12 Tb 3.59-3.63
La4 0.0000 0.0000 0.8994  12 Tb 3.60-3.61
Tb1 0.0000 0.5000 0.0000  8 Tb 3.60, 4 La 3.61
Tb2 0.0000 0.5000 0.2010  4 La 3.59-3.60, 8 Tb 3.60-3.61
Tb3 0.0000 0.5000 0.4025  8 Tb 3.55-3.60, 2 Ho 3.55, 2 La 3.63
Tb4 0.0000 0.5000 0.5975  8 Tb 3.55-3.60, 2 Ho 3.55, 2 La 3.63
Tb5 0.0000 0.5000 0.7990  4 La 3.59-3.60, 8 Tb 3.60-3.61
Tb6 0.5000 0.0000 0.0000  8 Tb 3.60, 4 La 3.61
Tb7 0.5000 0.0000 0.2010  4 La 3.59-3.60, 8 Tb 3.60-3.61
Tb8 0.5000 0.0000 0.4025  8 Tb 3.55-3.60, 2 Ho 3.55, 2 La 3.63
Tb9 0.5000 0.0000 0.5975  8 Tb 3.55-3.60, 2 Ho 3.55, 2 La 3.63
Tb10 0.5000 0.0000 0.7990  4 La 3.59-3.60, 8 Tb 3.60-3.61
Tb11 0.5000 0.5000 0.1004  8 Tb 3.60-3.61, 4 La 3.60
Tb12 0.5000 0.5000 0.3020  8 Tb 3.60-3.61, 4 La 3.60
Tb13 0.5000 0.5000 0.5000  8 Tb 3.55, 4 Ho 3.60
Tb14 0.5000 0.5000 0.6980  8 Tb 3.60-3.61, 4 La 3.60
Tb15 0.5000 0.5000 0.8996  8 Tb 3.60-3.61, 4 La 3.60
Ho1 0.0000 0.0000 0.5000  12 Tb 3.55-3.60